#1
DFT (GGA-PBE) results for an optimized crystal structure of Ca2PuCl6.

Values from the calculation:
- DOS(E_F) (states/eV/cell) = 36.72

a = 6.5518 Å, b = 6.5518 Å, c = 12.7368 Å
α = 90.00°, β = 90.00°, γ = 90.00°
With the nearest neighbours (Å) after each atom.
Space group P4_2/mnm (No. 136)
Asymmetric unit:
1 Ca 0.0000 0.0000 0.1674 [4 per cell]  6 Cl 2.76-2.78
2 Pu 0.0000 0.0000 0.5000 [2 per cell]  6 Cl 2.87
3 Cl 0.1908 0.1908 0.0000 [4 per cell]  2 Ca 2.77, 1 Pu 2.87
4 Cl 0.2000 0.2000 0.3283 [8 per cell]  2 Ca 2.76-2.78, 1 Pu 2.87

#2
DFT (GGA-PBE) results for an optimized crystal structure of Ca2PuCl6.

Values from the calculation:
- DOS(E_F) (states/eV/cell) = 42.94

a = 7.1161 Å, b = 7.1161 Å, c = 21.1744 Å
α = 90.00°, β = 90.00°, γ = 120.00°
With the nearest neighbours (Å) after each atom.
Space group R-3 (No. 148, hexagonal axes)
Asymmetric unit:
1 Ca 0.0000 0.0000 0.1796 [6 per cell]  6 Cl 2.73-2.81
2 Pu 0.0000 0.0000 0.0000 [3 per cell]  6 Cl 2.87
3 Cl 0.0233 0.7152 0.9081 [18 per cell]  2 Ca 2.73-2.81, 1 Pu 2.87

Which of them is the most stable, and which is the least stable? #1 and #2, in that order.